Record 1
PaTe2Pd: relaxed, PBE-GGA.

Structure (POSCAR):
```
PaTe2Pd
1.0
-2.437 1.010 -3.440
-4.316 -0.329 0.229
-2.733 8.464 1.688
Pa Te Pd
1 2 1
Direct
0.500 0.500 0.500
0.098 0.098 0.706
0.902 0.902 0.294
0.000 0.000 0.000
```

## Properties
**E_tot**: -5.535 eV per atom
**Relative energy among the computed polymorphs**: 1.27 eV/f.u.
**ΔE_f (raw)**: -6.74 kcal/mol of atoms

Record 2
NpPd5: relaxed, PBE-GGA.

Structure (POSCAR):
```
NpPd5
1.0
-3.274 2.248 -1.061
-0.618 -4.932 -0.578
-0.991 1.153 5.499
Np Pd
1 5
Direct
0.694 0.389 0.889
0.030 0.060 0.063
0.694 0.389 0.389
0.359 0.718 0.714
0.362 0.723 0.218
0.027 0.055 0.560
```

## Properties
**E_tot**: -6.815 eV per atom

Record 3
Li2CoAs: relaxed, PBE-GGA.

Structure (POSCAR):
```
Li2CoAs
1.0
3.563 0.000 0.000
0.000 3.572 0.000
0.000 0.000 4.042
As Co Li
1 1 2
Direct
0.500 0.000 0.500
0.000 0.500 0.500
0.000 0.000 0.000
0.500 0.500 0.000
```

## Properties
**E_tot**: -4.117 eV per atom

Record 4
Nb3Ga2N: relaxed, PBE-GGA.

Structure (POSCAR):
```
Nb3Ga2N
1.0
7.061 0.000 0.000
0.000 7.061 0.000
0.000 0.000 7.061
Nb Ga N
12 8 4
Direct
0.625 0.295 0.545
0.705 0.045 0.875
0.545 0.625 0.295
0.955 0.375 0.795
0.295 0.545 0.625
0.455 0.125 0.205
0.045 0.875 0.705
0.795 0.955 0.375
0.205 0.455 0.125
0.875 0.705 0.045
0.375 0.795 0.955
0.125 0.205 0.455
0.569 0.431 0.931
0.681 0.681 0.681
0.931 0.569 0.431
0.431 0.931 0.569
0.181 0.819 0.319
0.819 0.319 0.181
0.319 0.181 0.819
0.069 0.069 0.069
0.875 0.125 0.625
0.125 0.625 0.875
0.625 0.875 0.125
0.375 0.375 0.375
```

## Properties
**E_tot**: -8.058 eV per atom
**ΔE_f (raw)**: -14.46 kcal/mol of atoms

Record 5
RbPmS: relaxed, PBE-GGA.

Structure (POSCAR):
```
RbPmS
1.0
-1.802 -3.162 1.977
1.581 -3.815 -0.314
8.874 2.329 12.441
Rb S Pm
2 2 2
Direct
0.525 0.525 0.009
0.228 0.228 0.299
0.554 0.554 0.454
0.199 0.199 0.854
0.216 0.216 0.551
0.537 0.537 0.756
```

## Properties
**E_tot**: -4.277 eV per atom
**ΔE_f (raw)**: -22.95 kcal/mol of atoms

Record 6
KInHg2Au: relaxed, PBE-GGA.

Structure (POSCAR):
```
KInHg2Au
1.0
-4.855 -2.318 -0.991
1.064 -3.833 3.756
-2.289 3.145 3.858
K Au Hg In
1 1 2 1
Direct
0.500 0.500 0.500
0.000 0.000 0.000
0.000 0.500 0.000
0.500 0.000 0.000
0.000 0.000 0.500
```

## Properties
**E_tot**: -1.628 eV per atom
**Relative energy among the computed polymorphs**: 0.64 eV/f.u.

Record 7
Ce2SmLu: relaxed, PBE-GGA.

Structure (POSCAR):
```
Ce2SmLu
1.0
5.051 0.000 0.000
0.000 4.900 0.000
0.000 0.000 4.900
Lu Ce Sm
1 2 1
Direct
0.500 0.000 0.000
0.000 0.000 0.500
0.000 0.500 0.000
0.500 0.500 0.500
```

## Properties
**E_tot**: -5.173 eV per atom
**Relative energy among the computed polymorphs**: 0.00 eV/f.u.

Record 8
SrNCl2: relaxed, PBE-GGA.

Structure (POSCAR):
```
SrNCl2
1.0
-3.127 4.821 4.201
-0.523 1.909 6.838
1.550 5.374 4.404
Sr N Cl
1 1 2
Direct
0.500 0.500 0.500
0.000 0.000 0.000
0.891 0.891 0.891
0.109 0.109 0.109
```

## Properties
**E_tot**: -3.609 eV per atom
**Relative energy among the computed polymorphs**: 1.43 eV/f.u.
**ΔE_f (raw)**: -4.23 kcal/mol of atoms

Record 9
Tb2Y3Cu3: relaxed, PBE-GGA.

Structure (POSCAR):
```
Tb2Y3Cu3
1.0
3.510 0.000 -0.565
-0.192 4.969 -1.195
-0.041 -0.006 10.926
Tb Y Cu
2 3 3
Direct
0.274 0.774 0.548
0.726 0.226 0.452
0.384 0.384 0.769
0.616 0.616 0.231
0.500 0.000 0.000
0.885 0.885 0.771
0.000 0.500 0.000
0.115 0.115 0.229
```

## Properties
**E_tot**: -5.263 eV per atom

Record 10
Pr5Ag4Hg: relaxed, PBE-GGA.

Structure (POSCAR):
```
Pr5Ag4Hg
1.0
-2.106 3.158 0.081
-3.140 -2.103 0.359
1.723 0.664 18.963
Pr Ag Hg
5 4 1
Direct
0.500 0.500 0.103
0.500 0.500 0.301
0.500 0.500 0.500
0.500 0.500 0.699
0.500 0.500 0.897
0.000 0.000 0.204
0.000 0.000 0.401
0.000 0.000 0.599
0.000 0.000 0.796
0.000 0.000 0.000
```

## Properties
**E_tot**: -3.852 eV per atom

Record 11
GaTcAsBr2: relaxed, PBE-GGA.

Structure (POSCAR):
```
GaTcAsBr2
1.0
5.071 0.000 0.000
0.000 5.071 0.000
0.000 0.000 5.215
As Ga Tc Br
1 1 1 2
Direct
0.000 0.000 0.500
0.000 0.000 0.000
0.500 0.500 0.500
0.000 0.500 0.000
0.500 0.000 0.000
```

## Properties
**E_tot**: -3.452 eV per atom
**Relative energy among the computed polymorphs**: 3.18 eV/f.u.
**ΔE_f (raw)**: 19.04 kcal/mol of atoms

Record 12
NdHo5Tl6: relaxed, PBE-GGA.

Structure (POSCAR):
```
NdHo5Tl6
1.0
-1.398 4.642 -2.330
2.766 -5.722 -6.828
-7.052 -2.444 5.597
Tl Nd Ho
6 1 5
Direct
0.254 0.085 0.424
0.746 0.576 0.915
0.759 0.259 0.259
0.241 0.741 0.741
0.254 0.424 0.085
0.746 0.915 0.576
0.000 0.000 0.000
0.500 0.164 0.836
0.000 0.333 0.667
0.500 0.500 0.500
0.000 0.667 0.333
0.500 0.836 0.164
```

## Properties
**E_tot**: -3.823 eV per atom
**Relative energy among the computed polymorphs**: 0.00 eV/f.u.

Record 13
PuGaMo: relaxed, PBE-GGA.

Structure (POSCAR):
```
PuGaMo
1.0
-3.432 4.996 1.142
-4.162 -1.652 -5.282
-6.144 -4.088 -0.580
Pu Ga Mo
4 4 4
Direct
0.913 0.705 0.986
0.413 0.795 0.514
0.087 0.295 0.014
0.587 0.205 0.486
0.902 0.807 0.511
0.402 0.693 0.989
0.098 0.193 0.489
0.598 0.307 0.011
0.675 0.815 0.187
0.175 0.685 0.313
0.325 0.185 0.813
0.825 0.315 0.687
```

## Properties
**E_tot**: -9.379 eV per atom
**Relative energy among the computed polymorphs**: 0.00 eV/f.u.

Record 14
RuAuCl2: relaxed, PBE-GGA.

Structure (POSCAR):
```
RuAuCl2
1.0
6.486 -0.007 0.000
4.400 4.765 0.000
-5.443 -2.379 2.604
Ru Au Cl
1 1 2
Direct
0.500 0.500 0.000
0.750 0.250 0.500
0.000 0.000 0.000
0.250 0.750 0.500
```

## Properties
**E_tot**: -3.401 eV per atom
**Relative energy among the computed polymorphs**: 2.46 eV/f.u.
**ΔE_f (raw)**: 15.23 kcal/mol of atoms

Record 15
HgRuS2: relaxed, PBE-GGA.

Structure (POSCAR):
```
HgRuS2
1.0
-6.059 -0.183 -1.857
1.527 -4.110 -4.579
-3.055 -5.697 -0.295
Ru S Hg
2 4 2
Direct
0.500 0.500 0.000
0.250 0.750 0.500
0.540 0.125 0.250
0.210 0.625 0.250
0.375 0.460 0.750
0.875 0.790 0.750
0.000 0.000 0.000
0.750 0.250 0.500
```

## Properties
**E_tot**: -4.471 eV per atom
**ΔE_f (raw)**: -0.30 kcal/mol of atoms

Record 16
Tb3AlSe6: relaxed, PBE-GGA.

Structure (POSCAR):
```
Tb3AlSe6
1.0
6.783 0.000 0.000
0.000 8.967 0.035
0.000 -1.967 8.748
Tb Al Se
6 2 12
Direct
0.485 0.915 0.718
0.985 0.718 0.915
0.386 0.403 0.597
0.886 0.597 0.403
0.985 0.085 0.282
0.485 0.282 0.085
0.024 0.202 0.798
0.524 0.798 0.202
0.184 0.696 0.630
0.684 0.630 0.696
0.200 0.434 0.900
0.700 0.900 0.434
0.165 0.041 0.959
0.671 0.218 0.782
0.171 0.782 0.218
0.665 0.959 0.041
0.200 0.100 0.566
0.700 0.566 0.100
0.184 0.370 0.304
0.684 0.304 0.370
```

## Properties
**E_tot**: -5.481 eV per atom
**ΔE_f (raw)**: -37.51 kcal/mol of atoms

Record 17
CaLaPb2: relaxed, PBE-GGA.

Structure (POSCAR):
```
CaLaPb2
1.0
-0.599 5.368 -0.413
-3.677 3.587 -1.717
-3.325 1.329 6.037
Pb Ca La
2 1 1
Direct
0.996 0.996 0.012
0.504 0.504 0.488
0.250 0.250 0.250
0.750 0.750 0.750
```

## Properties
**E_tot**: -3.996 eV per atom

Record 18
BaLa2W: relaxed, PBE-GGA.

Structure (POSCAR):
```
BaLa2W
1.0
-7.466 -1.876 -8.482
-4.397 -3.091 -10.115
-6.326 -5.332 -7.921
Ba W La
1 1 2
Direct
0.768 0.768 0.768
0.508 0.508 0.508
0.990 0.990 0.990
0.233 0.233 0.233
```

## Properties
**E_tot**: -5.323 eV per atom
**Relative energy among the computed polymorphs**: 1.50 eV/f.u.

Record 19
Pr2Sm2Y7: relaxed, PBE-GGA.

Structure (POSCAR):
```
Pr2Sm2Y7
1.0
-1.829 2.455 1.973
-7.903 -6.802 -2.249
-0.389 -8.343 6.635
Pr Sm Y
2 2 7
Direct
0.500 0.732 0.268
0.500 0.268 0.732
0.301 0.800 0.800
0.699 0.200 0.200
0.167 0.917 0.418
0.833 0.582 0.083
0.833 0.083 0.582
0.167 0.418 0.917
0.000 0.000 0.000
0.618 0.620 0.620
0.382 0.380 0.380
```

## Properties
**E_tot**: -5.718 eV per atom
**Relative energy among the computed polymorphs**: 0.00 eV/f.u.

Record 20
Y2Ge3Ru: relaxed, PBE-GGA.

Structure (POSCAR):
```
Y2Ge3Ru
1.0
4.052 0.000 1.697
1.781 5.162 1.433
-0.048 -0.032 5.799
Y Ge Ru
2 3 1
Direct
0.545 0.196 0.715
0.435 0.815 0.315
0.872 0.597 0.660
0.807 0.259 0.128
0.172 0.748 0.907
0.169 0.386 0.275
```

## Properties
**E_tot**: -6.659 eV per atom